Compound: KBa2SrMo
Source: Alexandria
Functional: GGA-PBE
Structure: optimized geometry

Cell: 6.5705 6.5705 5.7875 Å, 90.00 90.00 90.00°
Space group P4/mmm (No. 123)
One atom of each set of equivalent atoms:
K 0.0000 0.0000 0.0000 [1 per cell]
Ba 0.0000 0.5000 0.0000 [2 per cell]
Sr 0.5000 0.5000 0.5000 [1 per cell]
Mo 0.0000 0.0000 0.5000 [1 per cell]

Results
- Final energy: -11.073 eV per cell
- Fermi-level density of states: 1.70 states/eV per atom
- Magnetization: 2.7 μB/cell